No. 1
Be2AlTl | PBE-GGA | relaxed

Properties
- size of the total moment (μB per atom) = 0.00
- formation enthalpy at 0 K (meV/atom) = 437

Unit cell a=3.7285 b=3.8335 c=4.7099 alpha=90.00 beta=112.21 gamma=90.00
Space group Pm (No. 6)
One atom of each set of equivalent atoms:
1 Be 0.0000 0.0000 0.0000
2 Be 0.1248 0.5000 0.2518
3 Al 0.4322 0.5000 0.8543
4 Tl 0.7085 0.0000 0.4309

---

No. 2
Be2AlTl | PBE-GGA | relaxed

Properties
- size of the total moment (μB per atom) = 0.00
- formation enthalpy at 0 K (meV/atom) = 550

Unit cell a=2.8788 b=3.7051 c=5.9890 alpha=90.00 beta=90.00 gamma=90.00
Space group Pmmm (No. 47)
One atom of each set of equivalent atoms:
1 Be 0.0000 0.0000 0.1788
2 Al 0.5000 0.5000 0.0000
3 Tl 0.5000 0.5000 0.5000

---

No. 3
BeAlTl2 | PBE-GGA | relaxed

Properties
- size of the total moment (μB per atom) = 0.00
- formation enthalpy at 0 K (meV/atom) = 581

Unit cell a=3.4259 b=4.0011 c=6.6063 alpha=90.00 beta=104.56 gamma=90.00
Space group P2/m (No. 10)
One atom of each set of equivalent atoms:
1 Be 0.0000 0.0000 0.0000
2 Al 0.0000 0.0000 0.5000
3 Tl 0.4016 0.5000 0.2331

---

No. 4
Be2AlTl | PBE-GGA | relaxed

Properties
- size of the total moment (μB per atom) = 0.00
- formation enthalpy at 0 K (meV/atom) = 576

Unit cell a=3.0351 b=3.0351 c=7.1033 alpha=90.00 beta=90.00 gamma=90.00
Space group P4/mmm (No. 123)
One atom of each set of equivalent atoms:
1 Be 0.0000 0.0000 0.1807
2 Al 0.5000 0.5000 0.0000
3 Tl 0.5000 0.5000 0.5000

---

No. 5
Be2AlTl | PBE-GGA | relaxed

Properties
- size of the total moment (μB per atom) = 0.00
- formation enthalpy at 0 K (meV/atom) = 531

Unit cell a=3.0000 b=3.5484 c=6.1865 alpha=90.00 beta=98.08 gamma=90.00
Space group P2/m (No. 10)
One atom of each set of equivalent atoms:
1 Be 0.0382 0.0000 0.1736
2 Al 0.5000 0.5000 0.0000
3 Tl 0.0000 0.5000 0.5000

---

No. 6
Be3AlTl | PBE-GGA | relaxed

Properties
- size of the total moment (μB per atom) = 0.00
- formation enthalpy at 0 K (meV/atom) = 1279

Unit cell a=4.5816 b=4.5816 c=4.5816 alpha=90.00 beta=90.00 gamma=90.00
Space group Pm-3m (No. 221)
One atom of each set of equivalent atoms:
1 Be 0.0000 0.0000 0.5000
2 Al 0.5000 0.5000 0.5000
3 Tl 0.0000 0.0000 0.0000

---

No. 7
BeAlTl | PBE-GGA | relaxed

Properties
- size of the total moment (μB per atom) = 0.00
- formation enthalpy at 0 K (meV/atom) = 827

Unit cell a=4.0464 b=4.0464 c=11.1208 alpha=90.00 beta=90.00 gamma=120.00
Space group P6_3/mmc (No. 194)
One atom of each set of equivalent atoms:
1 Be 0.3333 0.6667 0.2500
2 Al 0.0000 0.0000 0.2500
3 Tl 0.0000 0.0000 0.0000

---

No. 8
BeAlTl2 | PBE-GGA | relaxed

Properties
- size of the total moment (μB per atom) = 0.00
- formation enthalpy at 0 K (meV/atom) = 584

Unit cell a=3.1280 b=3.1280 c=8.9941 alpha=90.00 beta=90.00 gamma=90.00
Space group P4/mmm (No. 123)
One atom of each set of equivalent atoms:
1 Be 0.0000 0.0000 0.0000
2 Al 0.0000 0.0000 0.5000
3 Tl 0.5000 0.5000 0.2155

---

No. 9
BeAlTl | PBE-GGA | relaxed

Properties
- size of the total moment (μB per atom) = 0.00
- formation enthalpy at 0 K (meV/atom) = 517

Unit cell a=4.1827 b=4.1827 c=3.9203 alpha=90.00 beta=90.00 gamma=120.00
Space group P3m1 (No. 156)
One atom of each set of equivalent atoms:
1 Be 0.0000 0.0000 0.0000
2 Al 0.3333 0.6667 0.0035
3 Tl 0.6667 0.3333 0.5030

---

No. 10
Be4AlTl | PBE-GGA | relaxed

Properties
- size of the total moment (μB per atom) = 0.00
- formation enthalpy at 0 K (meV/atom) = 476

Unit cell a=6.7417 b=6.7417 c=6.7417 alpha=90.00 beta=90.00 gamma=90.00
Space group F-43m (No. 216)
One atom of each set of equivalent atoms:
1 Be 0.1202 0.1202 0.3798
2 Al 0.2500 0.2500 0.7500
3 Tl 0.0000 0.0000 0.0000

---

No. 11
Be2AlTl | PBE-GGA | relaxed

Properties
- size of the total moment (μB per atom) = 0.00
- formation enthalpy at 0 K (meV/atom) = 681

Unit cell a=5.5682 b=5.9404 c=7.5523 alpha=90.00 beta=90.00 gamma=90.00
Space group Fmmm (No. 69)
One atom of each set of equivalent atoms:
1 Be 0.2500 0.2500 0.2500
2 Al 0.0000 0.0000 0.0000
3 Tl 0.0000 0.0000 0.5000

---

No. 12
BeAlTl2 | PBE-GGA | relaxed

Properties
- size of the total moment (μB per atom) = 0.00
- formation enthalpy at 0 K (meV/atom) = 364

Unit cell a=3.2079 b=3.2079 c=8.7562 alpha=90.00 beta=90.00 gamma=90.00
Space group P4mm (No. 99)
One atom of each set of equivalent atoms:
1 Be 0.0000 0.0000 0.0000
2 Al 0.5000 0.5000 0.8771
3 Tl 0.0000 0.0000 0.6055
4 Tl 0.5000 0.5000 0.2425